Below is a relaxed structure of Ir4Ru, with properties calculated at the PBE-GGA level.

a = 2.7255 Å, b = 2.7255 Å, c = 11.2911 Å
α = 83.07°, β = 83.07°, γ = 60.00°
Element x y z (fractional)
Ir (0.3990, 0.3990, 0.8030)
Ir (0.8000, 0.8000, 0.5999)
Ir (0.2000, 0.2000, 0.4001)
Ir (0.6010, 0.6010, 0.1970)
Ru (0.0000, 0.0000, 0.0000)

Summary:
The value obtained for the mass density is 20.08 g/cm³. The density of states at the Fermi level is 0.62 states/eV per atom. The value obtained for the formation energy is -0.10 eV per formula unit.